Ca2ThAg after structural relaxation, computed with GGA-PBE.

a = 3.5411 Å, b = 3.5411 Å, c = 35.3391 Å
α = 90.00°, β = 90.00°, γ = 120.00°
Space group R-3m (No. 166, hexagonal axes)
Inequivalent atoms, fractional coordinates:
Ca 0.0000 0.0000 0.1003
Th 0.0000 0.0000 0.0000
Ag 0.0000 0.0000 0.5000

Properties
mass density = 5.45 g/cm³
energy of formation from the pure elements = 209 meV/atom
energy relative to the lowest polymorph listed for this composition = 0.87 eV per formula unit
electronic total energy = -40.32 eV/cell
total magnetization = 0.000 μB/atom
density of states at the Fermi level = 12.0 states/eV/cell